## KSiHg4 (PBE)

Data for a relaxed structure of KSiHg4.

Cell and atoms, written as POSCAR:
```
KSiHg4
1.0
0.000 4.323 4.323
4.323 0.000 4.323
4.323 4.323 0.000
K Si Hg
1 1 4
Direct
0.000 0.000 0.000 K
0.750 0.750 0.750 Si
0.375 0.375 0.375 Hg
0.375 0.375 0.874 Hg
0.375 0.874 0.375 Hg
0.874 0.375 0.375 Hg
```

Summary:
Formation energy from raw total energies ... 0.22 eV per atom

***

## SrLi2Cl (PBE)

Data for a relaxed structure of SrLi2Cl.

Cell and atoms, written as POSCAR:
```
SrLi2Cl
1.0
2.868 -5.818 0.000
2.868 5.818 0.000
0.000 0.000 3.973
Sr Li Cl
1 2 1
Direct
0.000 0.000 0.000 Sr
0.000 0.500 0.500 Li
0.500 0.000 0.500 Li
0.500 0.500 0.000 Cl
```

Summary:
Formation energy from raw total energies ... -0.55 eV per atom

***

## PmHoTm2Hg4 (PBE)

Data for a relaxed structure of PmHoTm2Hg4.

Cell and atoms, written as POSCAR:
```
PmHoTm2Hg4
1.0
2.628 1.517 8.614
-2.628 1.517 8.614
0.000 -3.034 8.614
Pm Ho Tm Hg
1 1 2 4
Direct
0.000 0.000 0.000 Pm
0.500 0.500 0.500 Ho
0.249 0.249 0.249 Tm
0.751 0.751 0.751 Tm
0.127 0.127 0.127 Hg
0.377 0.377 0.377 Hg
0.623 0.623 0.623 Hg
0.873 0.873 0.873 Hg
```

Summary:
DFT formation energy ... -0.4706 eV/atom

***

## MgCd3Pd6 (PBE)

Data for a relaxed structure of MgCd3Pd6.

Cell and atoms, written as POSCAR:
```
MgCd3Pd6
1.0
7.806 0.000 0.000
0.000 4.628 0.000
-3.039 0.000 9.286
Mg Cd Pd
2 6 12
Direct
0.056 0.250 0.389 Mg
0.944 0.750 0.611 Mg
0.241 0.250 0.992 Cd
0.347 0.750 0.801 Cd
0.460 0.250 0.599 Cd
0.540 0.750 0.401 Cd
0.653 0.250 0.199 Cd
0.759 0.750 0.008 Cd
0.047 0.750 0.900 Pd
0.145 0.250 0.683 Pd
0.146 0.750 0.205 Pd
0.235 0.750 0.502 Pd
0.347 0.250 0.294 Pd
0.446 0.750 0.101 Pd
0.554 0.250 0.899 Pd
0.653 0.750 0.706 Pd
0.765 0.250 0.498 Pd
0.854 0.250 0.795 Pd
0.855 0.750 0.317 Pd
0.953 0.250 0.100 Pd
```

Summary:
DFT formation energy ... -0.4263 eV/atom

***

## KAg2Mo (PBE)

Data for a relaxed structure of KAg2Mo.

Cell and atoms, written as POSCAR:
```
KAg2Mo
1.0
0.000 3.592 3.592
3.592 0.000 3.592
3.592 3.592 0.000
K Ag Mo
1 2 1
Direct
0.000 0.000 0.000 K
0.500 0.500 0.500 Ag
0.750 0.750 0.750 Ag
0.250 0.250 0.250 Mo
```

Summary:
DFT formation energy ... 1.1379 eV/atom

***

## LiHfN2F (PBE)

Data for a relaxed structure of LiHfN2F.

Cell and atoms, written as POSCAR:
```
LiHfN2F
1.0
3.641 0.000 0.000
0.000 3.641 0.000
0.000 0.000 3.421
Li Hf N F
1 1 2 1
Direct
0.000 0.000 0.000 Li
0.500 0.500 0.500 Hf
0.000 0.500 0.000 N
0.500 0.000 0.000 N
0.000 0.000 0.500 F
```

Summary:
Formation energy from raw total energies ... -0.54 eV per atom

***

## NaLi2Ca (PBE)

Data for a relaxed structure of NaLi2Ca.

Cell and atoms, written as POSCAR:
```
NaLi2Ca
1.0
-2.347 2.347 11.549
2.347 -2.347 11.549
2.347 2.347 -11.549
Na Li Ca
2 4 2
Direct
0.000 0.000 0.000 Na
0.750 0.250 0.500 Na
0.094 0.625 0.969 Li
0.375 0.344 0.469 Li
0.656 0.125 0.031 Li
0.875 0.906 0.531 Li
0.250 0.750 0.500 Ca
0.500 0.500 0.000 Ca
```

Summary:
DFT formation energy ... 0.2291 eV/atom

***

## Ir2OsN2 (PBE)

Data for a relaxed structure of Ir2OsN2.

Cell and atoms, written as POSCAR:
```
Ir2OsN2
1.0
-2.011 2.011 3.669
2.011 -2.011 3.669
2.011 2.011 -3.669
Ir Os N
2 1 2
Direct
0.250 0.750 0.500 Ir
0.750 0.250 0.500 Ir
0.000 0.000 0.000 Os
0.415 0.415 0.000 N
0.585 0.585 0.000 N
```

Summary:
Formation energy from raw total energies ... 1.34 eV per atom

***

## Sm3Er5In2 (PBE)

Data for a relaxed structure of Sm3Er5In2.

Cell and atoms, written as POSCAR:
```
Sm3Er5In2
1.0
-6.374 7.792 3.181
6.374 -7.792 3.181
6.374 7.792 -3.181
Sm Er In
6 10 4
Direct
0.237 0.115 0.352 Sm
0.250 0.250 0.000 Sm
0.263 0.615 0.879 Sm
0.737 0.385 0.121 Sm
0.750 0.750 0.000 Sm
0.763 0.885 0.648 Sm
0.163 0.376 0.539 Er
0.250 0.503 0.253 Er
0.250 0.750 0.500 Er
0.250 0.997 0.747 Er
0.337 0.876 0.213 Er
0.663 0.124 0.787 Er
0.750 0.003 0.253 Er
0.750 0.250 0.500 Er
0.750 0.497 0.747 Er
0.837 0.624 0.461 Er
0.147 0.862 0.010 In
0.353 0.362 0.715 In
0.647 0.638 0.285 In
0.853 0.138 0.990 In
```

Summary:
DFT formation energy ... 0.0636 eV/atom

***

## TaPbS2 (PBE)

Data for a relaxed structure of TaPbS2.

Cell and atoms, written as POSCAR:
```
TaPbS2
1.0
1.690 0.975 9.128
-1.690 0.975 9.128
0.000 -1.951 9.128
Ta Pb S
1 1 2
Direct
0.000 0.000 0.000 Ta
0.500 0.500 0.500 Pb
0.390 0.390 0.390 S
0.610 0.610 0.610 S
```

Summary:
Formation energy from raw total energies ... -0.77 eV per atom

***

## Sr2HgHRh (PBE)

Data for a relaxed structure of Sr2HgHRh.

Cell and atoms, written as POSCAR:
```
Sr2HgHRh
1.0
6.671 0.000 0.000
0.000 4.415 0.000
-2.864 0.000 8.479
Sr Hg H Rh
4 2 2 2
Direct
0.231 0.250 0.402 Sr
0.245 0.250 0.968 Sr
0.755 0.750 0.032 Sr
0.769 0.750 0.598 Sr
0.315 0.750 0.704 Hg
0.685 0.250 0.296 Hg
0.152 0.750 0.158 H
0.848 0.250 0.842 H
0.416 0.750 0.230 Rh
0.584 0.250 0.770 Rh
```

***

## Tb6AlPd2 (PBE)

Data for a relaxed structure of Tb6AlPd2.

Cell and atoms, written as POSCAR:
```
Tb6AlPd2
1.0
-4.728 4.861 5.199
4.728 -4.861 5.199
4.728 4.861 -5.199
Tb Al Pd
12 2 4
Direct
0.046 0.239 0.807 Tb
0.181 0.285 0.466 Tb
0.181 0.715 0.895 Tb
0.328 0.029 0.702 Tb
0.328 0.626 0.298 Tb
0.432 0.239 0.193 Tb
0.568 0.761 0.807 Tb
0.672 0.374 0.702 Tb
0.672 0.971 0.298 Tb
0.819 0.285 0.105 Tb
0.819 0.715 0.534 Tb
0.954 0.761 0.193 Tb
0.000 0.000 0.000 Al
0.500 0.500 0.000 Al
0.133 0.633 0.500 Pd
0.341 0.000 0.341 Pd
0.659 0.000 0.659 Pd
0.867 0.367 0.500 Pd
```

Summary:
DFT formation energy ... -0.5001 eV/atom

***

Final energy (eV per atom)
-1.073; -2.393; -2.905; -3.976; -3.270; -6.616; -1.558; -7.779; -4.181; -6.723; -3.314; -5.157